Record 1
Compound: Tb2GdSc2
Source: OQMD via LeMat-Bulk
Functional: PBE
Structure: optimized geometry

Cell and atoms, written as extended XYZ:
```
5
Lattice="-2.9137 2.9137 4.3482 2.9137 -2.9137 4.3482 2.9137 2.9137 -4.3482" Properties=species:S:1:pos:R:3 pbc="T T T"
Tb 2.9137 0.0000 0.0000
Tb 0.0000 2.9137 0.0000
Gd 0.0000 0.0000 0.0000
Sc 0.0000 0.0000 2.8148
Sc 0.0000 0.0000 5.8817
```

Results
space group	I4/mmm, No. 139
energy relative to the elements	3.01	eV per formula unit

=====

Record 2
Compound: UAlCo
Source: OQMD via LeMat-Bulk
Functional: PBE
Structure: optimized geometry

Cell and atoms, written as extended XYZ:
```
3
Lattice="0.0000 3.1335 3.1335 3.1335 0.0000 3.1335 3.1335 3.1335 0.0000" Properties=species:S:1:pos:R:3 pbc="T T T"
U 0.0000 0.0000 0.0000
Al 1.5668 1.5668 1.5668
Co 4.7003 4.7003 4.7003
```

Results
space group	F-43m, No. 216
VASP energy	-6.4226	eV per atom

=====

Record 3
Compound: TaNiHgPb
Source: OQMD via LeMat-Bulk
Functional: PBE
Structure: optimized geometry

Cell and atoms, written as extended XYZ:
```
4
Lattice="0.0000 3.3612 3.3612 3.3612 0.0000 3.3612 3.3612 3.3612 0.0000" Properties=species:S:1:pos:R:3 pbc="T T T"
Ta 0.0000 0.0000 0.0000
Ni 3.3612 3.3612 3.3612
Hg 5.0419 5.0419 5.0419
Pb 1.6806 1.6806 1.6806
```

Results
space group	F-43m, No. 216
VASP energy	-4.7040	eV per atom